Compound: BeZnCSO
Source: Alexandria via LeMat-Bulk
Functional: PBE-GGA
Structure: optimized geometry

POSCAR file:
```
BeZnCSO
1.0
3.367 0.000 0.000
-1.683 2.916 0.000
0.000 0.000 6.909
Be Zn C S O
1 1 1 1 1
Cartesian
0.000 0.000 0.000
1.683 0.972 3.803
0.000 0.000 2.847
1.683 0.972 6.142
0.000 0.000 1.590
```

Results
- Relative energy among the computed polymorphs: 0 meV per atom
- ΔE_f (raw): -0.52 eV/atom
- Final energy: -5.180 eV/atom
- Space group: P3m1 (156)